Record 1
# Ho3InN, single point on PBEsol structure, DFT meta-GGA SCAN
data_Ho3InN
_chemical_formula_sum 'Ho3 In1 N1'
_space_group_name_H-M_alt 'P m -3 m'
_space_group_IT_number 221
_space_group_name_Hall '-P 4 2 3'
_cell_length_a 4.7215
_cell_length_b 4.7215
_cell_length_c 4.7215
_cell_angle_alpha 90.00
_cell_angle_beta 90.00
_cell_angle_gamma 90.00
loop_
_atom_site_label
_atom_site_type_symbol
_atom_site_fract_x
_atom_site_fract_y
_atom_site_fract_z
Ho1 Ho 0.0000 0.0000 0.5000
In1 In 0.5000 0.5000 0.5000
N1 N 0.0000 0.0000 0.0000
# DOS(E_F): 1.8 states/eV/cell
# Electronic total energy: -39.15 eV per atom


Record 2
# NdHoIn2, single point on PBEsol structure, DFT meta-GGA SCAN
data_NdHoIn2
_chemical_formula_sum 'Nd4 Ho4 In8'
_space_group_name_H-M_alt 'F m -3 m'
_space_group_IT_number 225
_space_group_name_Hall '-F 4 2 3'
_cell_length_a 7.4829
_cell_length_b 7.4829
_cell_length_c 7.4829
_cell_angle_alpha 90.00
_cell_angle_beta 90.00
_cell_angle_gamma 90.00
loop_
_atom_site_label
_atom_site_type_symbol
_atom_site_fract_x
_atom_site_fract_y
_atom_site_fract_z
Nd1 Nd 0.0000 0.0000 0.0000
Ho1 Ho 0.0000 0.0000 0.5000
In1 In 0.2500 0.2500 0.2500
# DOS(E_F): 7.4 states/eV/cell
# Formation energy from the elements: -623 meV/atom


Record 3
# Ho2InNi2, single point on PBEsol structure, DFT meta-GGA SCAN
data_Ho2InNi2
_chemical_formula_sum 'Ho4 In2 Ni4'
_space_group_name_H-M_alt 'C m m m'
_space_group_IT_number 65
_space_group_name_Hall '-C 2 2'
_cell_length_a 3.8715
_cell_length_b 13.9718
_cell_length_c 3.5573
_cell_angle_alpha 90.00
_cell_angle_beta 90.00
_cell_angle_gamma 90.00
loop_
_atom_site_label
_atom_site_type_symbol
_atom_site_fract_x
_atom_site_fract_y
_atom_site_fract_z
Ho1 Ho 0.0000 0.1388 0.0000
In1 In 0.0000 0.5000 0.5000
Ni1 Ni 0.0000 0.3012 0.5000
# DOS(E_F): 4.4 states/eV/cell
# Formation energy from the elements: -603 meV/atom


Record 4
# Ho2InNi2, single point on PBEsol structure, DFT meta-GGA SCAN
data_Ho2InNi2
_chemical_formula_sum 'Ho4 In2 Ni4'
_space_group_name_H-M_alt 'P 4/m b m'
_space_group_IT_number 127
_space_group_name_Hall '-P 4 2ab'
_cell_length_a 7.2516
_cell_length_b 7.2516
_cell_length_c 3.5628
_cell_angle_alpha 90.00
_cell_angle_beta 90.00
_cell_angle_gamma 90.00
loop_
_atom_site_label
_atom_site_type_symbol
_atom_site_fract_x
_atom_site_fract_y
_atom_site_fract_z
Ho1 Ho 0.1747 0.3253 0.0000
In1 In 0.0000 0.0000 0.5000
Ni1 Ni 0.1196 0.6196 0.5000
# DOS(E_F): 5.4 states/eV/cell
# Formation energy from the elements: -572 meV/atom


Record 5
# HoInNi, single point on PBEsol structure, DFT meta-GGA SCAN
data_HoInNi
_chemical_formula_sum 'Ho3 In3 Ni3'
_space_group_name_H-M_alt 'P -6 2 m'
_space_group_IT_number 189
_space_group_name_Hall 'P -6 -2'
_cell_length_a 7.2830
_cell_length_b 7.2830
_cell_length_c 3.7401
_cell_angle_alpha 90.00
_cell_angle_beta 90.00
_cell_angle_gamma 120.00
loop_
_atom_site_label
_atom_site_type_symbol
_atom_site_fract_x
_atom_site_fract_y
_atom_site_fract_z
Ho1 Ho 0.0000 0.5890 0.0000
In1 In 0.0000 0.2546 0.5000
Ni1 Ni 0.0000 0.0000 0.0000
Ni2 Ni 0.3333 0.6667 0.5000
# DOS(E_F): 7.0 states/eV/cell
# Formation energy from the elements: -581 meV/atom


Record 6
# HoInO3, single point on PBEsol structure, DFT meta-GGA SCAN
data_HoInO3
_chemical_formula_sum 'Ho6 In6 O18'
_space_group_name_H-M_alt 'P 63 c m'
_space_group_IT_number 185
_space_group_name_Hall 'P 6c -2'
_cell_length_a 6.2471
_cell_length_b 6.2471
_cell_length_c 12.1863
_cell_angle_alpha 90.00
_cell_angle_beta 90.00
_cell_angle_gamma 120.00
loop_
_atom_site_label
_atom_site_type_symbol
_atom_site_fract_x
_atom_site_fract_y
_atom_site_fract_z
Ho1 Ho 0.0000 0.0000 0.0000
Ho2 Ho 0.3333 0.6667 0.0365
In1 In 0.0000 0.3335 0.2704
O1 O 0.0000 0.0000 0.3053
O2 O 0.0000 0.3044 0.0978
O3 O 0.0000 0.3641 0.4408
O4 O 0.3333 0.6667 0.2381
# DOS(E_F): 0.0 states/eV/cell
# Electronic total energy: -23.08 eV per atom


Record 7
# HoInO3, single point on PBEsol structure, DFT meta-GGA SCAN
data_HoInO3
_chemical_formula_sum 'Ho4 In4 O12'
_space_group_name_H-M_alt 'P n m a'
_space_group_IT_number 62
_space_group_name_Hall '-P 2ac 2n'
_cell_length_a 5.7774
_cell_length_b 8.0907
_cell_length_c 5.4394
_cell_angle_alpha 90.00
_cell_angle_beta 90.00
_cell_angle_gamma 90.00
loop_
_atom_site_label
_atom_site_type_symbol
_atom_site_fract_x
_atom_site_fract_y
_atom_site_fract_z
Ho1 Ho 0.0667 0.2500 0.0244
In1 In 0.0000 0.0000 0.5000
O1 O 0.0719 0.7500 0.3515
O2 O 0.1903 0.5771 0.8136
# DOS(E_F): 0.0 states/eV/cell
# Electronic total energy: -23.04 eV per atom


Record 8
# HoInPd, single point on PBEsol structure, DFT meta-GGA SCAN
data_HoInPd
_chemical_formula_sum 'Ho3 In3 Pd3'
_space_group_name_H-M_alt 'P -6 2 m'
_space_group_IT_number 189
_space_group_name_Hall 'P -6 -2'
_cell_length_a 7.5207
_cell_length_b 7.5207
_cell_length_c 3.8185
_cell_angle_alpha 90.00
_cell_angle_beta 90.00
_cell_angle_gamma 120.00
loop_
_atom_site_label
_atom_site_type_symbol
_atom_site_fract_x
_atom_site_fract_y
_atom_site_fract_z
Ho1 Ho 0.0000 0.4087 0.0000
In1 In 0.0000 0.7411 0.5000
Pd1 Pd 0.0000 0.0000 0.0000
Pd2 Pd 0.3333 0.6667 0.5000
# DOS(E_F): 6.2 states/eV/cell
# Formation energy from the elements: -938 meV/atom


| no. | V (Å³/atom) |
| --- | --- |
| 1 | 21.050 |
| 2 | 26.187 |
| 3 | 19.242 |
| 4 | 18.735 |
| 5 | 19.089 |
| 6 | 13.729 |
| 7 | 12.713 |
| 8 | 20.782 |